DFT (PBE) results for an optimized crystal structure of La3YV.

Cell: 5.5420 5.5420 5.5420 Å, 90.00 90.00 90.00°
Sites, in units of the cell vectors:
La  0.0000  0.0000  0.5000
La  0.0000  0.5000  0.0000
La  0.5000  0.0000  0.0000
Y  0.5000  0.5000  0.5000
V  0.0000  0.0000  0.0000

Calculated values
- energy of formation (eV per atom) = 0.418
- E above lowest polymorph (eV per atom) = 0.000
- DOS(E_F) (states/eV per cell) = 9.6

=====

DFT (PBE) results for an optimized crystal structure of ZrTiFe2.

Cell: 4.3405 4.3405 3.0724 Å, 90.00 90.00 90.00°
Sites, in units of the cell vectors:
Zr  0.0000  0.0000  0.0000
Ti  0.5000  0.5000  0.0000
Fe  0.0000  0.5000  0.5000
Fe  0.5000  0.0000  0.5000

Calculated values
- energy of formation (eV per atom) = -0.236
- E above lowest polymorph (eV per atom) = 0.014
- DOS(E_F) (states/eV per cell) = 1.7